Record 1
Entry from Alexandria: an optimized crystal structure of FeRu2W (PBE-GGA).

Computed properties:
Formation energy from the elements in eV per atom: 0.13
Excess energy over the best structure of this formula in the dataset in meV/atom: 112
Theoretical density in g/cm3: 13.11
Magnetization in μB per atom: 0.452

a b c (Å): 8.939 2.733 4.655
angles (deg): 90.00 100.06 90.00
Space group Cm (No. 8)
Inequivalent atoms, fractional coordinates:
Fe: 0.000 0.000 0.000 (multiplicity 2)
Ru: 0.006 0.500 0.517 (multiplicity 2)
Ru: 0.251 0.000 0.758 (multiplicity 2)
W: 0.251 0.500 0.252 (multiplicity 2)

***

Record 2
Entry from Alexandria: an optimized crystal structure of Fe2RuW (PBE-GGA).

Computed properties:
Formation energy from the elements in eV per atom: 0.07
Excess energy over the best structure of this formula in the dataset in meV/atom: 12
Theoretical density in g/cm3: 12.25
Magnetization in μB per atom: 1.250

a b c (Å): 2.993 2.993 6.000
angles (deg): 90.00 90.00 90.00
Space group P4mm (No. 99)
Inequivalent atoms, fractional coordinates:
Fe: 0.000 0.000 0.000 (multiplicity 1)
Fe: 0.500 0.500 0.216 (multiplicity 1)
Ru: 0.000 0.000 0.478 (multiplicity 1)
W: 0.500 0.500 0.748 (multiplicity 1)

***

Record 3
Entry from Alexandria: an optimized crystal structure of FeRu2W (PBE-GGA).

Computed properties:
Formation energy from the elements in eV per atom: 0.17
Excess energy over the best structure of this formula in the dataset in meV/atom: 155
Theoretical density in g/cm3: 13.07
Magnetization in μB per atom: 0.430

a b c (Å): 2.7413 2.7413 25.8849
angles (deg): 90.00 90.00 120.00
Space group R3m (No. 160, hexagonal axes)
Inequivalent atoms, fractional coordinates:
Fe: 0.0000 0.0000 0.0000 (multiplicity 3)
Ru: 0.0000 0.0000 0.2554 (multiplicity 3)
Ru: 0.0000 0.0000 0.4139 (multiplicity 3)
W: 0.0000 0.0000 0.8341 (multiplicity 3)

***

Record 4
Entry from Alexandria: an optimized crystal structure of FeRuW (PBE-GGA).

Computed properties:
Formation energy from the elements in eV per atom: 0.16
Excess energy over the best structure of this formula in the dataset in meV/atom: 47
Theoretical density in g/cm3: 13.29
Magnetization in μB per atom: 0.995

a b c (Å): 4.2709 4.2709 2.6948
angles (deg): 90.00 90.00 120.00
Space group P3m1 (No. 156)
Inequivalent atoms, fractional coordinates:
Fe: 0.0000 0.0000 0.0000 (multiplicity 1)
Ru: 0.6667 0.3333 0.3529 (multiplicity 1)
W: 0.3333 0.6667 0.6984 (multiplicity 1)

***

Record 5
Entry from Alexandria: an optimized crystal structure of FeRu2W (PBE-GGA).

Computed properties:
Formation energy from the elements in eV per atom: 0.16
Excess energy over the best structure of this formula in the dataset in meV/atom: 139
Theoretical density in g/cm3: 13.24
Magnetization in μB per atom: 0.001

a b c (Å): 4.123 2.727 9.857
angles (deg): 90.00 90.00 90.00
Space group Amm2 (No. 38)
Inequivalent atoms, fractional coordinates:
Fe: 0.000 0.000 0.000 (multiplicity 2)
Ru: 0.000 0.000 0.257 (multiplicity 2)
Ru: 0.500 0.000 0.603 (multiplicity 2)
W: 0.500 0.000 0.870 (multiplicity 2)

***

Record 6
Entry from Alexandria: an optimized crystal structure of FeRu2W (PBE-GGA).

Computed properties:
Formation energy from the elements in eV per atom: 1.32
Excess energy over the best structure of this formula in the dataset in meV/atom: 1305
Theoretical density in g/cm3: 9.40
Magnetization in μB per atom: 0.000

a b c (Å): 5.625 5.625 9.864
angles (deg): 90.00 90.00 90.00
Space group I-42d (No. 122)
Inequivalent atoms, fractional coordinates:
Fe: 0.000 0.000 0.000 (multiplicity 4)
Ru: 0.219 0.250 0.125 (multiplicity 8)
W: 0.000 0.000 0.500 (multiplicity 4)

***

Record 7
Entry from Alexandria: an optimized crystal structure of FeRu2W (PBE-GGA).

Computed properties:
Formation energy from the elements in eV per atom: 0.11
Excess energy over the best structure of this formula in the dataset in meV/atom: 90
Theoretical density in g/cm3: 13.26
Magnetization in μB per atom: 0.332

a b c (Å): 2.722 3.749 5.422
angles (deg): 90.00 90.00 90.00
Space group Pmm2 (No. 25)
Inequivalent atoms, fractional coordinates:
Fe: 0.000 0.000 0.000 (multiplicity 1)
Ru: 0.000 0.000 0.481 (multiplicity 1)
Ru: 0.500 0.500 0.227 (multiplicity 1)
W: 0.500 0.500 0.749 (multiplicity 1)

***

Record 8
Entry from Alexandria: an optimized crystal structure of Fe2Ru2W (PBE-GGA).

Computed properties:
Formation energy from the elements in eV per atom: 0.29
Excess energy over the best structure of this formula in the dataset in meV/atom: 104
Theoretical density in g/cm3: 12.45
Magnetization in μB per atom: 0.000

a b c (Å): 7.063 7.063 2.660
angles (deg): 90.00 90.00 90.00
Space group P4/mbm (No. 127)
Inequivalent atoms, fractional coordinates:
Fe: 0.169 0.331 0.000 (multiplicity 4)
Ru: 0.127 0.627 0.500 (multiplicity 4)
W: 0.000 0.000 0.500 (multiplicity 2)

***

Record 9
Entry from Alexandria: an optimized crystal structure of FeRu2W (PBE-GGA).

Computed properties:
Formation energy from the elements in eV per atom: 0.18
Excess energy over the best structure of this formula in the dataset in meV/atom: 159
Theoretical density in g/cm3: 12.94
Magnetization in μB per atom: 0.715

a b c (Å): 2.709 4.063 5.272
angles (deg): 90.00 102.26 90.00
Space group P2/m (No. 10)
Inequivalent atoms, fractional coordinates:
Fe: 0.000 0.000 0.000 (multiplicity 1)
Ru: 0.392 0.500 0.237 (multiplicity 2)
W: 0.000 0.000 0.500 (multiplicity 1)

***

Record 10
Entry from Alexandria: an optimized crystal structure of Fe4RuW (PBE-GGA).

Computed properties:
Formation energy from the elements in eV per atom: 0.01
Theoretical density in g/cm3: 11.61
Magnetization in μB per atom: 0.951

a b c (Å): 6.625 6.625 6.625
angles (deg): 90.00 90.00 90.00
Space group F-43m (No. 216)
Inequivalent atoms, fractional coordinates:
Fe: 0.125 0.125 0.125 (multiplicity 16)
Ru: 0.250 0.250 0.750 (multiplicity 4)
W: 0.000 0.000 0.500 (multiplicity 4)

***

Record 11
Entry from Alexandria: an optimized crystal structure of ZnFeRuW (PBE-GGA).

Computed properties:
Formation energy from the elements in eV per atom: -0.01
Theoretical density in g/cm3: 12.47
Magnetization in μB per atom: 0.000

a b c (Å): 6.003 6.003 6.003
angles (deg): 90.00 90.00 90.00
Space group F-43m (No. 216)
Inequivalent atoms, fractional coordinates:
Zn: 0.000 0.000 0.000 (multiplicity 4)
Fe: 0.250 0.250 0.750 (multiplicity 4)
Ru: 0.250 0.250 0.250 (multiplicity 4)
W: 0.000 0.000 0.500 (multiplicity 4)

***

Record 12
Entry from Alexandria: an optimized crystal structure of YFeRu4 (PBE-GGA).

Computed properties:
Formation energy from the elements in eV per atom: 0.17
Theoretical density in g/cm3: 9.15
Magnetization in μB per atom: 0.790

a b c (Å): 7.359 7.359 7.359
angles (deg): 90.00 90.00 90.00
Space group F-43m (No. 216)
Inequivalent atoms, fractional coordinates:
Y: 0.000 0.000 0.000 (multiplicity 4)
Fe: 0.250 0.250 0.750 (multiplicity 4)
Ru: 0.124 0.124 0.376 (multiplicity 16)

***

Record 13
Entry from Alexandria: an optimized crystal structure of Y2Fe2Ru (PBE-GGA).

Computed properties:
Formation energy from the elements in eV per atom: 0.02
Theoretical density in g/cm3: 7.04
Magnetization in μB per atom: 0.542

a b c (Å): 6.472 6.472 4.400
angles (deg): 90.00 90.00 90.00
Space group P4/mbm (No. 127)
Inequivalent atoms, fractional coordinates:
Y: 0.183 0.317 0.000 (multiplicity 4)
Fe: 0.122 0.622 0.500 (multiplicity 4)
Ru: 0.000 0.000 0.500 (multiplicity 2)

***

Record 14
Entry from Alexandria: an optimized crystal structure of Y3Fe2Ru4 (PBE-GGA).

Computed properties:
Formation energy from the elements in eV per atom: -0.25
Theoretical density in g/cm3: 8.26
Magnetization in μB per atom: 0.517

a b c (Å): 5.210 5.240 13.126
angles (deg): 88.50 89.01 61.51
Space group P-1 (No. 2)
Inequivalent atoms, fractional coordinates:
Y: 0.002 0.499 0.375 (multiplicity 2)
Y: 0.334 0.832 0.042 (multiplicity 2)
Y: 0.338 0.831 0.291 (multiplicity 2)
Fe: 0.000 0.000 0.500 (multiplicity 1)
Fe: 0.161 0.668 0.833 (multiplicity 2)
Fe: 0.500 0.000 0.500 (multiplicity 1)
Ru: 0.000 0.500 0.000 (multiplicity 1)
Ru: 0.162 0.170 0.833 (multiplicity 2)
Ru: 0.323 0.839 0.663 (multiplicity 2)
Ru: 0.342 0.328 0.169 (multiplicity 2)
Ru: 0.500 0.500 0.500 (multiplicity 1)

***

Record 15
Entry from Alexandria: an optimized crystal structure of YFeRu3 (PBE-GGA).

Computed properties:
Formation energy from the elements in eV per atom: 0.60
Theoretical density in g/cm3: 8.29
Magnetization in μB per atom: 0.000

a b c (Å): 4.478 4.478 4.478
angles (deg): 90.00 90.00 90.00
Space group Pm-3m (No. 221)
Inequivalent atoms, fractional coordinates:
Y: 0.000 0.000 0.000 (multiplicity 1)
Fe: 0.500 0.500 0.500 (multiplicity 1)
Ru: 0.000 0.500 0.500 (multiplicity 3)

***

Record 16
Entry from Alexandria: an optimized crystal structure of YZrFeRu (PBE-GGA).

Computed properties:
Formation energy from the elements in eV per atom: -0.19
Theoretical density in g/cm3: 7.78
Magnetization in μB per atom: 0.072

a b c (Å): 6.602 6.602 6.602
angles (deg): 90.00 90.00 90.00
Space group F-43m (No. 216)
Inequivalent atoms, fractional coordinates:
Y: 0.000 0.000 0.000 (multiplicity 4)
Zr: 0.000 0.000 0.500 (multiplicity 4)
Fe: 0.250 0.250 0.250 (multiplicity 4)
Ru: 0.250 0.250 0.750 (multiplicity 4)

***

Record 17
Entry from Alexandria: an optimized crystal structure of Zn2FeRu (PBE-GGA).

Computed properties:
Formation energy from the elements in eV per atom: 0.08
Excess energy over the best structure of this formula in the dataset in meV/atom: 67
Theoretical density in g/cm3: 8.92
Magnetization in μB per atom: 0.755

a b c (Å): 5.983 5.983 5.983
angles (deg): 90.00 90.00 90.00
Space group Fm-3m (No. 225)
Inequivalent atoms, fractional coordinates:
Zn: 0.250 0.250 0.250 (multiplicity 8)
Fe: 0.000 0.000 0.000 (multiplicity 4)
Ru: 0.000 0.000 0.500 (multiplicity 4)

***

Record 18
Entry from Alexandria: an optimized crystal structure of Zn2FeRu (PBE-GGA).

Computed properties:
Formation energy from the elements in eV per atom: 0.07
Excess energy over the best structure of this formula in the dataset in meV/atom: 59
Theoretical density in g/cm3: 8.76
Magnetization in μB per atom: 0.951

a b c (Å): 5.302 7.620 2.701
angles (deg): 90.00 90.00 90.00
Space group Cmmm (No. 65)
Inequivalent atoms, fractional coordinates:
Zn: 0.250 0.250 0.000 (multiplicity 4)
Fe: 0.000 0.000 0.500 (multiplicity 2)
Ru: 0.000 0.500 0.500 (multiplicity 2)

***

Record 19
Entry from Alexandria: an optimized crystal structure of ZnFe4Ru (PBE-GGA).

Computed properties:
Formation energy from the elements in eV per atom: 0.12
Theoretical density in g/cm3: 8.66
Magnetization in μB per atom: 1.566

a b c (Å): 6.686 6.686 6.686
angles (deg): 90.00 90.00 90.00
Space group F-43m (No. 216)
Inequivalent atoms, fractional coordinates:
Zn: 0.000 0.000 0.000 (multiplicity 4)
Fe: 0.125 0.125 0.375 (multiplicity 16)
Ru: 0.250 0.250 0.750 (multiplicity 4)

***

Record 20
Entry from Alexandria: an optimized crystal structure of ZnFe2Ru2 (PBE-GGA).

Computed properties:
Formation energy from the elements in eV per atom: 0.32
Excess energy over the best structure of this formula in the dataset in meV/atom: 70
Theoretical density in g/cm3: 9.42
Magnetization in μB per atom: 0.000

a b c (Å): 7.138 7.138 2.623
angles (deg): 90.00 90.00 90.00
Space group P4/mbm (No. 127)
Inequivalent atoms, fractional coordinates:
Zn: 0.000 0.000 0.000 (multiplicity 2)
Fe: 0.165 0.335 0.500 (multiplicity 4)
Ru: 0.129 0.629 0.000 (multiplicity 4)